1.
This record from Alexandria via LeMat-Bulk describes LiHOs3 after structural relaxation. The functional is GGA-PBE.

The value obtained for the excess energy over the best structure of this formula in the dataset is 8.87 eV per formula unit.

The structure belongs to space group Pm-3m (No. 221); the cell edges are 4.060, 4.060 and 4.060 Å and the angles 90.00°, 90.00° and 90.00°. The distinct sites, in fractional coordinates, are Li at (0.000, 0.000, 0.000), H at (0.500, 0.500, 0.500) and Os at (0.000, 0.000, 0.500).



2.
This record from Alexandria via LeMat-Bulk describes Li3HOs after structural relaxation. The functional is GGA-PBE.

The value obtained for the excess energy over the best structure of this formula in the dataset is 0.00 eV per formula unit.

The structure belongs to space group Pm-3m (No. 221); the cell edges are 3.767, 3.767 and 3.767 Å and the angles 90.00°, 90.00° and 90.00°. The distinct sites, in fractional coordinates, are Li at (0.000, 0.000, 0.500), H at (0.000, 0.000, 0.000) and Os at (0.500, 0.500, 0.500).



3.
This record from Alexandria via LeMat-Bulk describes LiHOs after structural relaxation. The functional is GGA-PBE.

Its energy is -5.397 eV/atom.

The structure belongs to space group C2/m (No. 12); the cell edges are 8.813, 2.657 and 6.907 Å and the angles 90.00°, 129.60° and 90.00°. The distinct sites, in fractional coordinates, are Li at (0.177, 0.000, 0.106), H at (0.092, 0.000, 0.782) and Os at (0.089, 0.500, 0.397).



4.
This record from Alexandria via LeMat-Bulk describes Li2H4Os after structural relaxation. The functional is GGA-PBE.

Its energy is -4.249 eV/atom.

The structure belongs to space group I4/mmm (No. 139); the cell edges are 3.417, 3.417 and 10.106 Å and the angles 90.00°, 90.00° and 90.00°. The distinct sites, in fractional coordinates, are Li at (0.000, 0.000, 0.146), H at (0.000, 0.000, 0.330), H at (0.000, 0.500, 0.000) and Os at (0.000, 0.000, 0.500).



5.
This record from Alexandria via LeMat-Bulk describes LiH3Os after structural relaxation. The functional is GGA-PBE.

The value obtained for the excess energy over the best structure of this formula in the dataset is 2.41 eV per formula unit.

The structure belongs to space group Pm-3m (No. 221); the cell edges are 3.102, 3.102 and 3.102 Å and the angles 90.00°, 90.00° and 90.00°. The distinct sites, in fractional coordinates, are Li at (0.000, 0.000, 0.000), H at (0.000, 0.000, 0.500) and Os at (0.500, 0.500, 0.500).



6.
This record from Alexandria via LeMat-Bulk describes Li2HOs2 after structural relaxation. The functional is GGA-PBE.

The value obtained for the excess energy over the best structure of this formula in the dataset is 3.75 eV per formula unit.

The structure belongs to space group I4/mmm (No. 139); the cell edges are 4.804, 4.804 and 5.805 Å and the angles 90.00°, 90.00° and 90.00°. The distinct sites, in fractional coordinates, are Li at (0.000, 0.500, 0.250), H at (0.000, 0.000, 0.000) and Os at (0.000, 0.000, 0.301).